Entry 1:
An optimized crystal structure of CuPd2F, computed with GGA-PBE.

a b c (Å): 6.5490 6.5490 5.4192
angles (deg): 90.00 90.00 90.00
Space group I-42d (No. 122)
Asymmetric unit:
Cu 0.0000 0.0000 0.0000 x4
Pd 0.2273 0.2500 0.6250 x8
F 0.0000 0.0000 0.5000 x4

Output
Uncorrected formation energy = 0.1 eV per formula unit
Energy = -4.060 eV/atom
Total magnetic moment = 0.163 μB per atom
ΔE to the lowest computed polymorph = 54 meV/atom

Entry 2:
An optimized crystal structure of Th2Ge3Rh, computed with GGA-PBE.

a b c (Å): 4.0464 4.4590 7.2908
angles (deg): 90.00 90.00 90.00
Space group Pmm2 (No. 25)
Asymmetric unit:
Th 0.0000 0.0000 0.0000 x1
Th 0.0000 0.5000 0.4840 x1
Ge 0.5000 0.0000 0.6542 x1
Ge 0.5000 0.5000 0.1611 x1
Ge 0.5000 0.5000 0.8182 x1
Rh 0.5000 0.0000 0.3172 x1

Output
Formation energy = -78.0 kJ per mole of atoms
Energy = -6.815 eV/atom
Total magnetic moment = 0.000 μB per atom
ΔE to the lowest computed polymorph = 13 meV/atom